Run P
First-principles (PBE-GGA) data for BaSrSi2 after structural relaxation, as listed in Alexandria.

Computed properties:
Fermi-level density of states: 2.5 states/eV/cell
Magnetization: 0.00 μB/cell
Crystal system: cubic

Unit cell a=5.534 b=5.534 c=5.534 alpha=60.00 beta=60.00 gamma=60.00
Positions (direct):
1 Ba 0.000 0.000 0.000
2 Sr 0.500 0.500 0.500
3 Si 0.250 0.250 0.250
4 Si 0.750 0.750 0.750



Run Q
First-principles (PBE-GGA) data for BaSrSi2 after structural relaxation, as listed in Alexandria.

Computed properties:
Fermi-level density of states: 1.2 states/eV/cell
Magnetization: 0.00 μB/cell
Crystal system: orthorhombic

Unit cell a=4.099 b=6.431 c=6.431 alpha=45.03 beta=90.00 gamma=90.00
Positions (direct):
1 Ba 0.000 0.000 0.000
2 Sr 0.500 0.723 0.723
3 Si 0.000 0.293 0.293
4 Si 0.500 0.414 0.414



run Q comes first in stability; the runner-up is 389 meV/atom higher.



Run P
First-principles (PBE-GGA) data for GaSnIrS2 after structural relaxation, as listed in Alexandria.

Computed properties:
Fermi-level density of states: 1.0 states/eV/cell
Magnetization: 0.00 μB/cell
Crystal system: triclinic

Unit cell a=3.685 b=4.866 c=6.275 alpha=74.45 beta=74.00 gamma=82.64
Positions (direct):
1 Ga 0.000 0.000 0.000
2 Sn 0.921 0.011 0.503
3 Ir 0.938 0.533 0.892
4 S 0.325 0.562 0.145
5 S 0.562 0.498 0.646



Run Q
First-principles (PBE-GGA) data for GaSnIrS2 after structural relaxation, as listed in Alexandria.

Computed properties:
Fermi-level density of states: 2.7 states/eV/cell
Magnetization: 0.00 μB/cell
Crystal system: monoclinic

Unit cell a=4.302 b=3.685 c=6.443 alpha=90.00 beta=102.32 gamma=90.00
Positions (direct):
1 Ga 0.000 0.000 0.000
2 Sn 0.747 0.000 0.565
3 Ir 0.919 0.500 0.274
4 S 0.306 0.500 0.592
5 S 0.383 0.500 0.096



run P comes first in stability; the runner-up is 56 meV/atom higher.